Computed, not measured: Dy5URu4 after structural relaxation at the PBE level of DFT.

## Properties
Energy of formation from the pure elements = -0.355 eV/atom
ρ = 10.3 g cm⁻³
SG = C2/m, No. 12
Total DFT energy (no corrections) = -74.95 eV/f.u.
Fermi-level density of states = 0.718 states/eV/atom

POSCAR file:
```
Dy5URu4
1.0
4.426 0.000 -1.217
-0.407 6.680 -1.481
-0.170 -0.139 8.039
Ru Dy U
4 5 1
direct
0.358 0.735 0.716
0.998 0.780 0.996
0.642 0.265 0.284
0.002 0.220 0.004
0.500 0.500 0.000
0.168 0.544 0.335
0.832 0.456 0.665
0.827 0.955 0.655
0.173 0.045 0.345
0.500 0.000 0.000
```